InNi2Mo | GGA-PBE | relaxed

## Properties
Total moment ... 0.000 μB per atom
Formation enthalpy at 0 K ... 0.171 eV per atom
VASP energy ... -6.112 eV per atom

abc: 8.4882 2.7845 5.1273
angles: 90.00 98.02 90.00
With the nearest neighbours (Å) after each atom.
Space group C2/m (No. 12)
One atom of each set of equivalent atoms:
In 0.0000 0.0000 0.0000  6 Ni 2.75-2.80, 2 In 2.78, 4 Mo 2.92
Ni 0.2490 0.0000 0.7093  3 Mo 2.52-2.63, 4 Ni 2.56-2.78, 3 In 2.75-2.80
Mo 0.0000 0.5000 0.5000  6 Ni 2.52-2.63, 2 Mo 2.78